Below is a relaxed structure of TlSnOsRu2, with properties calculated at the GGA-PBEsol level.

Energy of formation (eV per atom): 1.348
E (eV per atom): -6.54
Magnetic moment (μB per atom): 0.000

Lattice parameters (Å, degrees): 4.710 4.710 5.014 90.00 90.00 90.00
Atoms (fractional coordinates):
Tl  0.500  0.500  0.500
Ru  0.000  0.500  0.000
Ru  0.500  0.000  0.000
Sn  0.000  0.000  0.500
Os  0.000  0.000  0.000



Below is a relaxed structure of Sr4OsRu, with properties calculated at the GGA-PBEsol level.

Energy of formation (eV per atom): 1.717
E (eV per atom): -3.24
Magnetic moment (μB per atom): 0.335

Lattice parameters (Å, degrees): 6.088 6.088 6.088 60.00 60.00 60.00
Site moments in Bohr magnetons follow the coordinates.
Atoms (fractional coordinates):
Sr  0.874  0.375  0.375  -0.05
Sr  0.375  0.375  0.874  -0.05
Sr  0.375  0.874  0.375  -0.05
Sr  0.375  0.375  0.375  -0.05
Os  0.750  0.750  0.750  1.02
Ru  0.000  0.000  0.000  1.31



Below is a relaxed structure of TaOsRu2, with properties calculated at the GGA-PBEsol level.

Energy of formation (eV per atom): -0.163
E (eV per atom): -11.44
Distance to the lowest polymorph of the same formula (meV/atom): 0
Magnetic moment (μB per atom): 0.000

Lattice parameters (Å, degrees): 3.854 3.871 3.871 90.00 90.00 90.00
Atoms (fractional coordinates):
Ta  0.500  0.500  0.500
Ru  0.000  0.500  0.000
Ru  0.000  0.000  0.500
Os  0.500  0.000  0.000



Below is a relaxed structure of TaOsRu2, with properties calculated at the GGA-PBEsol level.

Energy of formation (eV per atom): 0.149
E (eV per atom): -11.13
Distance to the lowest polymorph of the same formula (meV/atom): 312
Magnetic moment (μB per atom): 0.001

Lattice parameters (Å, degrees): 2.991 4.408 4.449 90.00 90.00 90.00
Atoms (fractional coordinates):
Os  0.000  0.500  0.500
Ru  0.000  0.000  0.000
Ru  0.500  0.000  0.500
Ta  0.500  0.500  0.000



Below is a relaxed structure of TaOsRu2, with properties calculated at the GGA-PBEsol level.

Energy of formation (eV per atom): -0.063
E (eV per atom): -11.34
Distance to the lowest polymorph of the same formula (meV/atom): 100
Magnetic moment (μB per atom): 0.000

Lattice parameters (Å, degrees): 2.758 4.737 4.722 99.59 106.93 90.02
Atoms (fractional coordinates):
Os  0.745  0.227  0.489
Ru  0.000  0.007  0.001
Ru  0.255  0.761  0.510
Ta  0.500  0.505  0.000



Below is a relaxed structure of TaOsRu2, with properties calculated at the GGA-PBEsol level.

Energy of formation (eV per atom): -0.108
E (eV per atom): -11.39
Distance to the lowest polymorph of the same formula (meV/atom): 55
Magnetic moment (μB per atom): 0.000

Lattice parameters (Å, degrees): 3.871 3.871 4.735 114.12 114.12 90.00
Atoms (fractional coordinates):
Os  0.500  0.500  0.000
Ta  0.000  0.000  0.000
Ru  0.250  0.750  0.500
Ru  0.750  0.250  0.500



Below is a relaxed structure of TaOsRu2, with properties calculated at the GGA-PBEsol level.

Energy of formation (eV per atom): 0.022
E (eV per atom): -11.26
Distance to the lowest polymorph of the same formula (meV/atom): 185
Magnetic moment (μB per atom): 0.000

Lattice parameters (Å, degrees): 2.745 2.745 7.722 90.00 90.00 90.00
Atoms (fractional coordinates):
Ru  0.000  0.000  0.000
Ru  0.500  0.500  0.235
Os  0.500  0.500  0.767
Ta  0.000  0.000  0.498



Below is a relaxed structure of TcOsRu2, with properties calculated at the GGA-PBEsol level.

Energy of formation (eV per atom): 0.517
E (eV per atom): -10.44
Distance to the lowest polymorph of the same formula (meV/atom): 586
Magnetic moment (μB per atom): 0.283

Lattice parameters (Å, degrees): 3.188 3.188 5.512 90.00 90.00 90.00
Site moments in Bohr magnetons follow the coordinates.
Atoms (fractional coordinates):
Ru  0.500  0.500  0.240  0.45
Ru  0.000  0.000  0.015  0.54
Os  0.500  0.500  0.755  0.10
Tc  0.000  0.000  0.491  0.00